Entry 1:
Computed, not measured: an optimized crystal structure of FePd4Pt3 at the GGA-PBE level of DFT.

Cell and atoms, written as POSCAR:
```
FePd4Pt3
1.0
-0.7970 -2.5459 0.5383
1.6702 -1.3880 -4.0919
7.4405 1.4915 11.1912
Fe Pd Pt
1 4 3
Direct
0.5000 0.0000 0.0000
0.6937 0.7359 0.3874
0.3063 0.2641 0.6126
0.9061 0.8196 0.8121
0.0939 0.1804 0.1879
0.0000 0.5000 0.0000
0.1977 0.2423 0.3954
0.8023 0.7577 0.6046
```

**Energy of formation**: 0.216 eV per atom
**DOS at the Fermi energy**: 10.40 states/eV/f.u.
**Space group**: C2/m, No. 12

=====

Entry 2:
Computed, not measured: an optimized crystal structure of Na2ScGeTe4 at the GGA-PBE level of DFT.

Cell and atoms, written as POSCAR:
```
Na2ScGeTe4
1.0
-1.4679 3.5190 -1.4056
-3.7818 -3.7109 -5.3410
-4.8578 0.4866 6.2911
Na Sc Ge Te
2 1 1 4
Direct
0.5000 0.0000 0.5000
0.0000 0.5000 0.5000
0.5000 0.5000 0.0000
0.0000 0.0000 0.0000
0.5000 0.2416 0.2162
0.5000 0.7584 0.7838
0.0000 0.2617 0.7817
0.0000 0.7383 0.2183
```

**DOS at the Fermi energy**: 2.17 states/eV/f.u.
**Space group**: P2/m, No. 10
**Electronic total energy**: -32.2 eV for the cell shown

=====

Entry 3:
Computed, not measured: an optimized crystal structure of YAg2O2 at the GGA-PBE level of DFT.

Cell and atoms, written as POSCAR:
```
YAg2O2
1.0
-1.3259 5.5366 -4.2583
1.4380 -4.0251 -5.6812
-2.9716 -0.8351 -0.1605
Y O Ag
2 4 4
Direct
0.0000 0.0000 0.0000
0.5000 0.5000 0.0000
0.2006 0.7006 0.5000
0.7006 0.7994 0.5000
0.7994 0.2994 0.5000
0.2994 0.2006 0.5000
0.3752 0.8752 0.0000
0.8752 0.6248 0.0000
0.6248 0.1248 0.0000
0.1248 0.3752 0.0000
```

**DOS at the Fermi energy**: 0.94 states/eV/f.u.
**Space group**: P4/mbm, No. 127
**Electronic total energy**: -47.5 eV for the cell shown

=====

Entry 4:
Computed, not measured: an optimized crystal structure of Th5TlHg4 at the GGA-PBE level of DFT.

Cell and atoms, written as POSCAR:
```
Th5TlHg4
1.0
-0.7826 3.0771 -1.3999
-3.1715 -1.1658 -0.7896
-7.7541 7.2959 20.3726
Th Tl Hg
5 1 4
Direct
0.5000 0.5000 0.1029
0.5000 0.5000 0.3010
0.5000 0.5000 0.5000
0.5000 0.5000 0.6990
0.5000 0.5000 0.8971
0.0000 0.0000 0.0000
0.0000 0.0000 0.2018
0.0000 0.0000 0.4005
0.0000 0.0000 0.5995
0.0000 0.0000 0.7982
```

**Energy of formation**: -0.205 eV per atom
**DOS at the Fermi energy**: 12.78 states/eV/f.u.
**Space group**: P4/mmm, No. 123

=====

Entry 5:
Computed, not measured: an optimized crystal structure of LaZn3Cl at the GGA-PBE level of DFT.

Cell and atoms, written as POSCAR:
```
LaZn3Cl
1.0
6.1078 0.0000 0.0000
0.0000 6.1078 0.0000
0.0000 0.0000 6.1078
Zn Cl La
3 1 1
Direct
0.0000 0.5000 0.0000
0.0000 0.0000 0.5000
0.5000 0.0000 0.0000
0.5000 0.5000 0.5000
0.0000 0.0000 0.0000
```

**DOS at the Fermi energy**: 6.86 states/eV/f.u.
**Space group**: Pm-3m, No. 221
**Electronic total energy**: -7.8 eV for the cell shown

=====

Entry 6:
Computed, not measured: an optimized crystal structure of Mn2NiAs at the GGA-PBE level of DFT.

Cell and atoms, written as POSCAR:
```
Mn2NiAs
1.0
-4.5622 -5.7922 -3.0256
-2.4971 -7.3182 -1.9302
-4.6214 -6.4851 -0.3219
As Mn Ni
1 2 1
Direct
0.7510 0.7510 0.7510
0.9990 0.9990 0.9990
0.2503 0.2503 0.2503
0.4997 0.4997 0.4997
```

**Energy of formation**: 0.159 eV per atom
**DOS at the Fermi energy**: 2.86 states/eV/f.u.
**Space group**: R3m, No. 160

=====

Entry 7:
Computed, not measured: an optimized crystal structure of OsRh3W at the GGA-PBE level of DFT.

Cell and atoms, written as POSCAR:
```
OsRh3W
1.0
-3.6567 -0.3727 2.8516
1.6141 -4.0837 1.5361
2.3801 2.1968 3.3392
Rh Os W
3 1 1
Direct
0.0000 0.5000 0.0000
0.0000 0.0000 0.5000
0.5000 0.0000 0.0000
0.0000 0.0000 0.0000
0.5000 0.5000 0.5000
```

**Energy of formation**: 1.916 eV per atom
**DOS at the Fermi energy**: 6.21 states/eV/f.u.
**Space group**: Pm-3m, No. 221

=====

Entry 8:
Computed, not measured: an optimized crystal structure of CdRe4Mo at the GGA-PBE level of DFT.

Cell and atoms, written as POSCAR:
```
CdRe4Mo
1.0
-0.5252 -5.1397 -0.6656
-4.3024 -1.9114 -2.2295
0.2345 -2.0440 -4.7856
Cd Re Mo
1 4 1
Direct
0.7500 0.7500 0.7500
0.8733 0.3756 0.3756
0.3756 0.3756 0.8733
0.3756 0.8733 0.3756
0.3756 0.3756 0.3756
0.0000 0.0000 0.0000
```

**Energy of formation**: 0.414 eV per atom
**DOS at the Fermi energy**: 5.49 states/eV/f.u.
**Space group**: F-43m, No. 216

=====

Entry 9:
Computed, not measured: an optimized crystal structure of RbLiErCl5 at the GGA-PBE level of DFT.

Cell and atoms, written as POSCAR:
```
RbLiErCl5
1.0
7.5522 0.0025 -0.0733
-2.2022 7.2239 -0.0733
-2.3092 -3.1192 9.2359
Rb Li Er Cl
2 2 2 10
Direct
0.3406 0.6594 0.2500
0.6594 0.3406 0.7500
0.6901 0.3099 0.2500
0.3099 0.6901 0.7500
0.0000 0.0000 0.5000
0.0000 0.0000 0.0000
0.0696 0.9304 0.2500
0.9304 0.0696 0.7500
0.8994 0.2962 0.1025
0.1006 0.7038 0.8975
0.7038 0.1006 0.3975
0.2962 0.8994 0.6025
0.7630 0.6340 0.4179
0.2370 0.3660 0.5821
0.3660 0.2370 0.0821
0.6340 0.7630 0.9179
```

**DOS at the Fermi energy**: 0.00 states/eV/f.u.
**Space group**: C2/c, No. 15
**Electronic total energy**: -67.2 eV for the cell shown

=====

Entry 10:
Computed, not measured: an optimized crystal structure of Ho2PuCr2C4 at the GGA-PBE level of DFT.

Cell and atoms, written as POSCAR:
```
Ho2PuCr2C4
1.0
-2.5258 0.3199 2.2236
-0.7581 -6.1516 -2.5453
3.9131 -0.1225 4.4624
Ho Pu Cr C
2 1 2 4
Direct
0.8644 0.7289 0.4604
0.1356 0.2711 0.5396
0.0000 0.0000 0.0000
0.3204 0.6407 0.0113
0.6796 0.3593 0.9887
0.7799 0.5597 0.8007
0.2201 0.4403 0.1993
0.4643 0.9286 0.2519
0.5357 0.0714 0.7481
```

**Energy of formation**: -0.063 eV per atom
**DOS at the Fermi energy**: 11.62 states/eV/f.u.
**Space group**: C2/m, No. 12

=====

Entry 11:
Computed, not measured: an optimized crystal structure of TmMg2Ta at the GGA-PBE level of DFT.

Cell and atoms, written as POSCAR:
```
TmMg2Ta
1.0
3.0242 0.0000 0.0000
1.5121 2.6191 0.0000
1.5121 0.8730 11.5584
Mg Tm Ta
2 1 1
Direct
0.0835 0.0835 0.7496
0.9165 0.9165 0.2504
0.5000 0.5000 0.5000
0.0000 0.0000 0.0000
```

**Energy of formation**: 0.524 eV per atom
**DOS at the Fermi energy**: 4.35 states/eV/f.u.
**Space group**: R-3m, No. 166

=====

Entry 12:
Computed, not measured: an optimized crystal structure of Cr2HN at the GGA-PBE level of DFT.

Cell and atoms, written as POSCAR:
```
Cr2HN
1.0
-1.1204 -2.5582 -2.0971
-3.3965 -0.8058 -0.1107
-1.8854 0.7680 -2.8378
Cr H N
2 1 1
Direct
0.2500 0.2500 0.2500
0.7500 0.7500 0.7500
0.0000 0.0000 0.0000
0.5000 0.5000 0.5000
```

**DOS at the Fermi energy**: 3.37 states/eV/f.u.
**Space group**: Fm-3m, No. 225
**Electronic total energy**: -29.4 eV for the cell shown

=====

Entry 13:
Computed, not measured: an optimized crystal structure of HgRhPb2 at the GGA-PBE level of DFT.

Cell and atoms, written as POSCAR:
```
HgRhPb2
1.0
3.3750 0.0000 0.0000
0.0000 4.3830 0.0145
0.0000 2.1552 6.7260
Hg Rh Pb
1 1 2
Direct
0.5000 0.6884 0.7490
0.0000 0.8605 0.4026
0.0000 0.0710 0.9853
0.5000 0.3801 0.3632
```

**Energy of formation**: 0.053 eV per atom
**DOS at the Fermi energy**: 2.11 states/eV/f.u.
**Space group**: Pm, No. 6

=====

Entry 14:
Computed, not measured: an optimized crystal structure of CaPm2Rh2 at the GGA-PBE level of DFT.

Cell and atoms, written as POSCAR:
```
CaPm2Rh2
1.0
4.4495 0.0000 0.0000
0.0000 5.5173 0.7525
0.0000 0.1580 10.7313
Ca Pm Rh
2 4 4
Direct
0.2500 0.5610 0.2138
0.7500 0.4390 0.7862
0.2500 0.8853 0.8849
0.7500 0.1147 0.1151
0.2500 0.2338 0.5338
0.7500 0.7662 0.4662
0.2500 0.6992 0.6349
0.7500 0.3008 0.3651
0.2500 0.3450 0.9695
0.7500 0.6550 0.0305
```

**Energy of formation**: -0.535 eV per atom
**DOS at the Fermi energy**: 2.29 states/eV/f.u.
**Space group**: P2_1/m, No. 11

=====

Entry 15:
Computed, not measured: an optimized crystal structure of NaZn2Ge at the GGA-PBE level of DFT.

Cell and atoms, written as POSCAR:
```
NaZn2Ge
1.0
-0.6975 0.7710 -3.8606
3.7505 -1.7366 -1.0245
-1.8745 -3.8002 -0.4203
Na Ge Zn
1 1 2
Direct
0.5000 0.0000 0.0000
0.5000 0.5000 0.5000
0.0000 0.0000 0.5000
0.0000 0.5000 0.0000
```

**Energy of formation**: 0.109 eV per atom
**DOS at the Fermi energy**: 1.76 states/eV/f.u.
**Space group**: P4/mmm, No. 123

=====

Entry 16:
Computed, not measured: an optimized crystal structure of TlSiIr2 at the GGA-PBE level of DFT.

Cell and atoms, written as POSCAR:
```
TlSiIr2
1.0
-0.2886 -1.0380 -2.7360
-0.0970 -2.7651 1.0593
-7.5930 -0.6471 1.0465
Ir Si Tl
2 1 1
Direct
0.0000 0.8197 0.0641
0.0000 0.6803 0.4359
0.5000 0.2500 0.2500
0.5000 0.7500 0.7500
```

**DOS at the Fermi energy**: 1.03 states/eV/f.u.
**Space group**: P2/m, No. 10
**Electronic total energy**: -26.1 eV for the cell shown

=====

Entry 17:
Computed, not measured: an optimized crystal structure of Fe2CuSe at the GGA-PBE level of DFT.

Cell and atoms, written as POSCAR:
```
Fe2CuSe
1.0
-1.1644 2.7139 3.0023
-0.4304 -1.3168 3.9769
2.7697 1.2132 2.9311
Cu Fe Se
1 2 1
Direct
0.5000 0.5000 0.5000
0.0000 0.0000 0.0000
0.2500 0.2500 0.2500
0.7500 0.7500 0.7500
```

**DOS at the Fermi energy**: 4.03 states/eV/f.u.
**Space group**: F-43m, No. 216
**Electronic total energy**: -23.0 eV for the cell shown

=====

Entry 18:
Computed, not measured: an optimized crystal structure of CaInAs2Se at the GGA-PBE level of DFT.

Cell and atoms, written as POSCAR:
```
CaInAs2Se
1.0
-4.0746 -0.9594 -3.8966
4.0128 -1.0221 -3.9445
-0.0364 -5.8359 1.4751
As Ca Se In
2 1 1 1
Direct
0.0000 0.5000 0.0000
0.5000 0.0000 0.0000
0.5000 0.5000 0.5000
0.0000 0.0000 0.5000
0.0000 0.0000 0.0000
```

**DOS at the Fermi energy**: 5.28 states/eV/f.u.
**Space group**: P4/mmm, No. 123
**Electronic total energy**: -15.9 eV for the cell shown

=====

Entry 19:
Computed, not measured: an optimized crystal structure of In3Hg4Bi at the GGA-PBE level of DFT.

Cell and atoms, written as POSCAR:
```
In3Hg4Bi
1.0
5.0258 0.0000 0.0000
0.0000 7.4089 0.0000
0.0000 0.0000 12.4307
Bi Hg In
2 8 6
Direct
0.0000 0.5000 0.0000
0.0000 0.5000 0.5000
0.5000 0.7564 0.0000
0.5000 0.7564 0.5000
0.5000 0.2436 0.0000
0.5000 0.2436 0.5000
0.4906 0.7448 0.7500
0.5094 0.7448 0.2500
0.5094 0.2552 0.2500
0.4906 0.2552 0.7500
0.0000 0.0000 0.0000
0.0000 0.0000 0.5000
0.9906 0.0000 0.7500
0.0094 0.0000 0.2500
0.9911 0.5000 0.7500
0.0089 0.5000 0.2500
```

**Energy of formation**: 0.033 eV per atom
**DOS at the Fermi energy**: 4.19 states/eV/f.u.
**Space group**: Pmma, No. 51

=====

Entry 20:
Computed, not measured: an optimized crystal structure of MgNb2Sb at the GGA-PBE level of DFT.

Cell and atoms, written as POSCAR:
```
MgNb2Sb
1.0
0.0000 3.3701 3.3701
3.3701 0.0000 3.3701
3.3701 3.3701 0.0000
Sb Nb Mg
1 2 1
Direct
0.5000 0.5000 0.5000
0.2500 0.2500 0.2500
0.7500 0.7500 0.7500
0.0000 0.0000 0.0000
```

**DOS at the Fermi energy**: 5.93 states/eV/f.u.
**Space group**: Fm-3m, No. 225
**Electronic total energy**: -24.8 eV for the cell shown